No. 1
## Na2CaTlI (GGA-PBE)

Data for a geometry-optimized Na2CaTlI structure.

Properties
Density of states at the Fermi level in states/eV per cell: 4.19
Size of the total moment in μB per cell: 0.0
Uncorrected energy in eV per atom: -1.72
Formation energy from raw total energies in eV/atom: -0.01
Mass density in g/cm³: 3.14

a b c (Å): 5.751 5.751 6.664
angles (deg): 90.00 90.00 90.00
Atoms (fractional coordinates):
Na1 0.000 0.500 0.000
Na2 0.500 0.000 0.000
Ca1 0.000 0.000 0.500
Tl1 0.500 0.500 0.000
I1 0.500 0.500 0.500

No. 2
## Ni3Br (GGA-PBE)

Data for a geometry-optimized Ni3Br structure.

Properties
Density of states at the Fermi level in states/eV per cell: 6.13
Size of the total moment in μB per cell: 1.0
Uncorrected energy in eV per atom: -4.18
Formation energy from raw total energies in eV/atom: 0.57
Mass density in g/cm³: 7.89

a b c (Å): 5.030 5.030 5.030
angles (deg): 144.48 60.61 132.60
Atoms (fractional coordinates):
Ni1 0.000 0.000 0.000
Ni2 0.000 0.727 0.273
Ni3 0.454 0.727 0.727
Br1 0.528 0.028 0.500

No. 3
## SrSi12Rh4 (GGA-PBE)

Data for a geometry-optimized SrSi12Rh4 structure.

Properties
Density of states at the Fermi level in states/eV per cell: 11.69
Size of the total moment in μB per cell: 0.0
Uncorrected energy in eV per atom: -5.90
Formation energy from raw total energies in eV/atom: -0.24
Mass density in g/cm³: 4.75

a b c (Å): 7.243 7.243 7.243
angles (deg): 109.47 109.47 109.47
Atoms (fractional coordinates):
Sr1 0.000 0.000 0.000
Si1 0.153 0.510 0.358
Si2 0.153 0.795 0.642
Si3 0.205 0.358 0.847
Si4 0.358 0.153 0.510
Si5 0.358 0.847 0.205
Si6 0.490 0.642 0.847
Si7 0.510 0.358 0.153
Si8 0.642 0.153 0.795
Si9 0.642 0.847 0.490
Si10 0.795 0.642 0.153
Si11 0.847 0.205 0.358
Si12 0.847 0.490 0.642
Rh1 0.000 0.000 0.500
Rh2 0.000 0.500 0.000
Rh3 0.500 0.000 0.000
Rh4 0.500 0.500 0.500

No. 4
## MnBeGaCu2 (GGA-PBE)

Data for a geometry-optimized MnBeGaCu2 structure.

Properties
Density of states at the Fermi level in states/eV per cell: 2.58
Size of the total moment in μB per cell: 2.3
Uncorrected energy in eV per atom: -4.45
Mass density in g/cm³: 6.57

a b c (Å): 4.006 4.006 4.108
angles (deg): 90.00 90.00 90.00
Atoms (fractional coordinates):
Mn1 0.000 0.000 0.000
Be1 0.000 0.000 0.500
Ga1 0.500 0.500 0.000
Cu1 0.000 0.500 0.500
Cu2 0.500 0.000 0.500

No. 5
## CsTaB3 (GGA-PBE)

Data for a geometry-optimized CsTaB3 structure.

Properties
Density of states at the Fermi level in states/eV per cell: 4.90
Size of the total moment in μB per cell: 0.0
Uncorrected energy in eV per atom: -2.96
Mass density in g/cm³: 6.87

a b c (Å): 4.373 4.373 4.373
angles (deg): 90.00 90.00 90.00
Atoms (fractional coordinates):
Cs1 0.000 0.000 0.000
Ta1 0.500 0.500 0.500
B1 0.000 0.000 0.500
B2 0.000 0.500 0.000
B3 0.500 0.000 0.000

No. 6
## CdI2O2 (GGA-PBE)

Data for a geometry-optimized CdI2O2 structure.

Properties
Density of states at the Fermi level in states/eV per cell: 6.40
Size of the total moment in μB per cell: 0.0
Uncorrected energy in eV per atom: -2.36
Formation energy from raw total energies in eV/atom: 0.43
Mass density in g/cm³: 5.58

a b c (Å): 8.991 8.991 2.930
angles (deg): 90.00 90.00 90.00
Atoms (fractional coordinates):
Cd1 0.000 0.000 0.000
Cd2 0.500 0.500 0.000
I1 0.147 0.353 0.000
I2 0.353 0.853 0.000
I3 0.647 0.147 0.000
I4 0.853 0.647 0.000
O1 0.227 0.727 0.500
O2 0.273 0.227 0.500
O3 0.727 0.773 0.500
O4 0.773 0.273 0.500

No. 7
## RhPbF (GGA-PBE)

Data for a geometry-optimized RhPbF structure.

Properties
Density of states at the Fermi level in states/eV per cell: 2.96
Size of the total moment in μB per cell: 1.2
Uncorrected energy in eV per atom: -5.17
Formation energy from raw total energies in eV/atom: -0.86
Mass density in g/cm³: 10.08

a b c (Å): 4.792 4.792 5.499
angles (deg): 90.22 90.22 59.12
Atoms (fractional coordinates):
Rh1 0.000 0.000 0.000
Rh2 0.667 0.667 0.056
Pb1 0.018 0.018 0.496
Pb2 0.333 0.333 0.967
F1 0.313 0.313 0.532
F2 0.640 0.640 0.456

No. 8
## Ba2AcHg6 (GGA-PBE)

Data for a geometry-optimized Ba2AcHg6 structure.

Properties
Density of states at the Fermi level in states/eV per cell: 5.63
Size of the total moment in μB per cell: 0.0
Uncorrected energy in eV per atom: -1.56
Mass density in g/cm³: 10.02

a b c (Å): 9.076 9.076 3.961
angles (deg): 90.00 90.00 120.00
Atoms (fractional coordinates):
Ba1 0.333 0.667 0.000
Ba2 0.667 0.333 0.000
Ac1 0.000 0.000 0.000
Hg1 0.000 0.332 0.500
Hg2 0.000 0.668 0.500
Hg3 0.332 0.000 0.500
Hg4 0.332 0.332 0.500
Hg5 0.668 0.000 0.500
Hg6 0.668 0.668 0.500

No. 9
## MnV2SbH (GGA-PBE)

Data for a geometry-optimized MnV2SbH structure.

Properties
Density of states at the Fermi level in states/eV per cell: 2.89
Size of the total moment in μB per cell: 2.2
Uncorrected energy in eV per atom: -7.07
Mass density in g/cm³: 7.57

a b c (Å): 3.882 3.882 4.070
angles (deg): 90.00 90.00 90.00
Atoms (fractional coordinates):
Mn1 0.000 0.000 0.000
V1 0.000 0.500 0.500
V2 0.500 0.000 0.500
Sb1 0.500 0.500 0.000
H1 0.000 0.000 0.500

No. 10
## Ac2HoSi3Pt4 (GGA-PBE)

Data for a geometry-optimized Ac2HoSi3Pt4 structure.

Properties
Density of states at the Fermi level in states/eV per cell: 5.65
Size of the total moment in μB per cell: 0.0
Uncorrected energy in eV per atom: -6.37
Formation energy from raw total energies in eV/atom: -1.05
Mass density in g/cm³: 11.75

a b c (Å): 4.409 4.409 10.787
angles (deg): 90.00 90.00 90.00
Atoms (fractional coordinates):
Ac1 0.000 0.500 0.233
Ac2 0.500 0.000 0.767
Ho1 0.000 0.000 0.500
Si1 0.000 0.500 0.885
Si2 0.500 0.000 0.115
Si3 0.500 0.500 0.500
Pt1 0.000 0.000 0.000
Pt2 0.000 0.500 0.657
Pt3 0.500 0.000 0.343
Pt4 0.500 0.500 0.000

No. 11
## Pm2NdTeO8 (GGA-PBE)

Data for a geometry-optimized Pm2NdTeO8 structure.

Properties
Density of states at the Fermi level in states/eV per cell: 3.54
Size of the total moment in μB per cell: 0.9
Uncorrected energy in eV per atom: -7.14
Formation energy from raw total energies in eV/atom: -2.38
Mass density in g/cm³: 6.78

a b c (Å): 4.276 7.340 5.405
angles (deg): 90.00 95.00 90.00
Atoms (fractional coordinates):
Pm1 0.000 0.245 0.000
Pm2 0.000 0.755 0.000
Nd1 0.500 0.500 0.500
Te1 0.500 0.000 0.500
O1 0.018 0.500 0.249
O2 0.094 0.000 0.306
O3 0.434 0.204 0.734
O4 0.434 0.796 0.734
O5 0.566 0.204 0.266
O6 0.566 0.796 0.266
O7 0.906 0.000 0.694
O8 0.982 0.500 0.751

No. 12
## MgSiC3 (GGA-PBE)

Data for a geometry-optimized MgSiC3 structure.

Properties
Density of states at the Fermi level in states/eV per cell: 2.10
Size of the total moment in μB per cell: 0.0
Uncorrected energy in eV per atom: -5.31
Formation energy from raw total energies in eV/atom: 1.63
Mass density in g/cm³: 2.73

a b c (Å): 3.777 3.777 3.777
angles (deg): 90.00 90.00 90.00
Atoms (fractional coordinates):
Mg1 0.000 0.000 0.000
Si1 0.500 0.500 0.500
C1 0.000 0.500 0.500
C2 0.500 0.000 0.500
C3 0.500 0.500 0.000

No. 13
## PtSeI (GGA-PBE)

Data for a geometry-optimized PtSeI structure.

Properties
Density of states at the Fermi level in states/eV per cell: 1.37
Size of the total moment in μB per cell: 0.0
Uncorrected energy in eV per atom: -3.68
Formation energy from raw total energies in eV/atom: 0.01
Mass density in g/cm³: 6.94

a b c (Å): 5.451 6.152 6.441
angles (deg): 73.70 77.89 68.75
Atoms (fractional coordinates):
Pt1 0.000 0.000 0.000
Pt2 0.255 0.330 0.914
Se1 0.581 0.218 0.161
Se2 0.933 0.620 0.101
I1 0.135 0.585 0.512
I2 0.472 0.915 0.768